# BeSb2Ir, optimized geometry, DFT PBE
data_BeSb2Ir
_symmetry_space_group_name_H-M 'P 4/m m m'
_symmetry_Int_Tables_number 123
_symmetry_space_group_name_Hall '-P 4 2'
_cell_length_a 4.491
_cell_length_b 4.491
_cell_length_c 3.678
_cell_angle_alpha 90.00
_cell_angle_beta 90.00
_cell_angle_gamma 90.00
loop_
_atom_site_label
_atom_site_type_symbol
_atom_site_fract_x
_atom_site_fract_y
_atom_site_fract_z
Be1 Be 0.000 0.000 0.000
Sb1 Sb 0.000 0.500 0.500
Ir1 Ir 0.500 0.500 0.000
# **Uncorrected formation energy**: 0.49 eV/atom
# **Calculated density**: 9957 kg/m3
# **E**: -4.7175 eV/atom